DFT (PBE with a Hubbard U) results for a relaxed FeGeO2 crystal.

```
data_FeGeO2
_cell_length_a 2.9236
_cell_length_b 2.9236
_cell_length_c 18.7904
_cell_angle_alpha 90.00
_cell_angle_beta 90.00
_cell_angle_gamma 120.00
_space_group_name_H-M_alt 'R -3 m'
_space_group_IT_number 166
_space_group_name_Hall '-R 3 2"'
loop_
_atom_site_label
_atom_site_fract_x
_atom_site_fract_y
_atom_site_fract_z
_atom_site_occupancy
Fe1 0.0000 0.0000 0.0000 1
Ge1 0.0000 0.0000 0.5000 1
O1 0.0000 0.0000 0.3865 1
```

DFT (PBE with a Hubbard U) results for a relaxed FeGeO2 crystal.

```
data_FeGeO2
_cell_length_a 5.042
_cell_length_b 5.042
_cell_length_c 9.152
_cell_angle_alpha 90.00
_cell_angle_beta 90.00
_cell_angle_gamma 90.00
_space_group_name_H-M_alt 'I -4 2 d'
_space_group_IT_number 122
_space_group_name_Hall 'I -4 2bw'
loop_
_atom_site_label
_atom_site_fract_x
_atom_site_fract_y
_atom_site_fract_z
_atom_site_occupancy
Fe1 0.000 0.000 0.000 1
Ge1 0.000 0.000 0.500 1
O1 0.202 0.250 0.125 1
```

DFT (PBE with a Hubbard U) results for a relaxed FeGe3O crystal.

```
data_FeGe3O
_cell_length_a 4.373
_cell_length_b 4.373
_cell_length_c 4.373
_cell_angle_alpha 90.00
_cell_angle_beta 90.00
_cell_angle_gamma 90.00
_space_group_name_H-M_alt 'P m -3 m'
_space_group_IT_number 221
_space_group_name_Hall '-P 4 2 3'
loop_
_atom_site_label
_atom_site_fract_x
_atom_site_fract_y
_atom_site_fract_z
_atom_site_occupancy
Fe1 0.000 0.000 0.000 1
Ge1 0.000 0.500 0.500 1
O1 0.500 0.500 0.500 1
```

DFT (PBE with a Hubbard U) results for a relaxed FeGe3O crystal.

```
data_FeGe3O
_cell_length_a 4.472
_cell_length_b 4.472
_cell_length_c 4.472
_cell_angle_alpha 90.00
_cell_angle_beta 90.00
_cell_angle_gamma 90.00
_space_group_name_H-M_alt 'P m -3 m'
_space_group_IT_number 221
_space_group_name_Hall '-P 4 2 3'
loop_
_atom_site_label
_atom_site_fract_x
_atom_site_fract_y
_atom_site_fract_z
_atom_site_occupancy
Fe1 0.000 0.000 0.000 1
Ge1 0.000 0.000 0.500 1
O1 0.500 0.500 0.500 1
```

| no. | energy (eV per atom) |
| --- | --- |
| 1 | -5.823 |
| 2 | -5.804 |
| 3 | -4.557 |
| 4 | -4.163 |